one:
DFT (GGA-PBE) results for a relaxed Y2CdPb2 crystal.

Values from the calculation:
* spin magnetization: 0.000 μB/atom
* space-group type: I4/mmm

a b c (Å): 5.9629 5.9629 6.3957
angles (deg): 62.21 62.21 90.00
Positions (direct):
Pb1 0.3339 0.3339 0.3323
Pb2 0.6661 0.6661 0.6677
Y1 0.7500 0.2500 0.5000
Y2 0.2500 0.7500 0.5000
Cd1 0.0000 0.0000 0.0000


two:
DFT (GGA-PBE) results for a relaxed Y2CdPb2 crystal.

Values from the calculation:
* spin magnetization: 0.000 μB/atom
* space-group type: P4/mbm

a b c (Å): 8.9755 8.9755 3.7015
angles (deg): 90.00 90.00 90.00
Positions (direct):
Pb1 0.1650 0.6650 0.5000
Pb2 0.6650 0.8350 0.5000
Pb3 0.8350 0.3350 0.5000
Pb4 0.3350 0.1650 0.5000
Y1 0.3604 0.8604 0.0000
Y2 0.8604 0.6396 0.0000
Y3 0.6396 0.1396 0.0000
Y4 0.1396 0.3604 0.0000
Cd1 0.0000 0.0000 0.0000
Cd2 0.5000 0.5000 0.0000


Q: Which of them is the least stable? A: one.


one:
DFT (GGA-PBE) results for a relaxed Y2Cd2Pb crystal.

Values from the calculation:
* spin magnetization: 0.000 μB/atom
* space-group type: I4/mmm

a b c (Å): 3.9765 3.9765 9.5426
angles (deg): 77.97 77.97 90.00
Positions (direct):
Pb1 0.0000 0.0000 0.0000
Y1 0.3987 0.3987 0.2026
Y2 0.6013 0.6013 0.7974
Cd1 0.7500 0.2500 0.5000
Cd2 0.2500 0.7500 0.5000


two:
DFT (GGA-PBE) results for a relaxed Y2Cd2Pb crystal.

Values from the calculation:
* spin magnetization: 0.000 μB/atom
* space-group type: P4/mbm

a b c (Å): 8.4932 8.4932 3.9622
angles (deg): 90.00 90.00 90.00
Positions (direct):
Pb1 0.0000 0.0000 0.0000
Pb2 0.5000 0.5000 0.0000
Y1 0.3406 0.8406 0.0000
Y2 0.8406 0.6594 0.0000
Y3 0.6594 0.1594 0.0000
Y4 0.1594 0.3406 0.0000
Cd1 0.1380 0.6380 0.5000
Cd2 0.6380 0.8620 0.5000
Cd3 0.8620 0.3620 0.5000
Cd4 0.3620 0.1380 0.5000


three:
DFT (GGA-PBE) results for a relaxed Y2Cd2Pb crystal.

Values from the calculation:
* spin magnetization: 0.000 μB/atom
* space-group type: P4/mbm

a b c (Å): 7.6501 7.6501 4.6331
angles (deg): 90.00 90.00 90.00
Positions (direct):
Pb1 0.0000 0.0000 0.0000
Pb2 0.5000 0.5000 0.0000
Y1 0.1686 0.6686 0.5000
Y2 0.6686 0.8314 0.5000
Y3 0.8314 0.3314 0.5000
Y4 0.3314 0.1686 0.5000
Cd1 0.3714 0.8714 0.0000
Cd2 0.8714 0.6286 0.0000
Cd3 0.6286 0.1286 0.0000
Cd4 0.1286 0.3714 0.0000


Q: Which of them is the least stable? A: one.


one:
DFT (GGA-PBE) results for a relaxed Zn2CdPb crystal.

Values from the calculation:
* spin magnetization: 0.000 μB/atom
* space-group type: P4/mmm

a b c (Å): 3.7284 3.7284 6.4461
angles (deg): 90.00 90.00 90.00
Positions (direct):
Cd1 0.5000 0.5000 0.2500
Pb1 0.5000 0.5000 0.7500
Zn1 0.0000 0.0000 0.0366
Zn2 0.0000 0.0000 0.4634


two:
DFT (GGA-PBE) results for a relaxed Zn2CdPb crystal.

Values from the calculation:
* spin magnetization: 0.000 μB/atom
* space-group type: Pmm2

a b c (Å): 3.2585 3.3893 7.9681
angles (deg): 90.00 90.00 90.00
Positions (direct):
Cd1 0.0000 0.0000 0.4530
Pb1 0.5000 0.5000 0.7743
Zn1 0.0000 0.0000 0.0515
Zn2 0.5000 0.5000 0.2212


Q: Which of them is the least stable? A: one.


one:
DFT (GGA-PBE) results for a relaxed Zn2CdPb crystal.

Values from the calculation:
* spin magnetization: 0.000 μB/atom
* space-group type: Immm

a b c (Å): 5.3589 5.3589 5.3589
angles (deg): 134.05 124.47 74.86
Positions (direct):
Cd1 0.7500 0.2500 0.5000
Pb1 0.2500 0.7500 0.5000
Zn1 0.9917 0.9917 0.0000
Zn2 0.5083 0.5083 0.0000


two:
DFT (GGA-PBE) results for a relaxed Zn2CdPb crystal.

Values from the calculation:
* spin magnetization: 0.000 μB/atom
* space-group type: C2/m

a b c (Å): 7.3585 5.4019 3.0972
angles (deg): 88.13 68.10 125.04
Positions (direct):
Cd1 0.0000 0.5000 0.5000
Pb1 0.5000 0.5000 0.0000
Zn1 0.0000 0.0000 0.0000
Zn2 0.5000 0.0000 0.5000


Q: Which of them is the least stable? A: one.


one:
DFT (GGA-PBE) results for a relaxed Zn2CdPb crystal.

Values from the calculation:
* spin magnetization: 0.000 μB/atom
* space-group type: Pm

a b c (Å): 4.2856 3.9058 5.6103
angles (deg): 70.50 90.00 90.00
Positions (direct):
Cd1 0.0000 0.4768 0.4279
Pb1 0.5000 0.7752 0.8138
Zn1 0.0000 0.1897 0.9885
Zn2 0.5000 0.0583 0.2698


two:
DFT (GGA-PBE) results for a relaxed Zn2CdPb crystal.

Values from the calculation:
* spin magnetization: 0.000 μB/atom
* space-group type: P4/mmm

a b c (Å): 4.6170 4.6165 4.1391
angles (deg): 90.00 90.00 90.00
Positions (direct):
Cd1 0.5000 0.0000 0.5000
Pb1 0.0000 0.5000 0.5000
Zn1 0.0000 0.0000 0.0000
Zn2 0.5000 0.5000 0.0000


three:
DFT (GGA-PBE) results for a relaxed Zn2CdPb crystal.

Values from the calculation:
* spin magnetization: 0.000 μB/atom
* space-group type: Fm-3m

a b c (Å): 5.0031 5.0031 5.0031
angles (deg): 60.00 60.00 60.00
Positions (direct):
Pb1 0.5000 0.5000 0.5000
Zn1 0.2500 0.2500 0.2500
Zn2 0.7500 0.7500 0.7500
Cd1 0.0000 0.0000 0.0000


Q: Which of them is the least stable? A: three.


one:
DFT (GGA-PBE) results for a relaxed ZnCd2Pb crystal.

Values from the calculation:
* spin magnetization: 0.000 μB/atom
* space-group type: P4/mmm

a b c (Å): 4.5234 4.5234 4.6440
angles (deg): 90.00 90.00 90.00
Positions (direct):
Cd1 0.0000 0.0000 0.0000
Cd2 0.5000 0.5000 0.0000
Pb1 0.5000 0.0000 0.5000
Zn1 0.0000 0.5000 0.5000


two:
DFT (GGA-PBE) results for a relaxed ZnCd2Pb crystal.

Values from the calculation:
* spin magnetization: 0.000 μB/atom
* space-group type: Cmmm

a b c (Å): 3.3075 3.3075 9.9129
angles (deg): 90.00 90.00 115.84
Positions (direct):
Cd1 0.0000 0.0000 0.9683
Cd2 0.0000 0.0000 0.5317
Pb1 0.5000 0.5000 0.2500
Zn1 0.5000 0.5000 0.7500


Q: Which of them is the least stable? A: two.


one:
DFT (GGA-PBE) results for a relaxed ZnCd2Pb2 crystal.

Values from the calculation:
* spin magnetization: 0.000 μB/atom
* space-group type: I4/mmm

a b c (Å): 7.9213 7.9213 7.9213
angles (deg): 146.76 146.76 47.72
Positions (direct):
Zn1 0.0000 0.0000 0.0000
Cd1 0.5947 0.5947 0.0000
Cd2 0.4053 0.4053 0.0000
Pb1 0.2500 0.7500 0.5000
Pb2 0.7500 0.2500 0.5000


two:
DFT (GGA-PBE) results for a relaxed ZnCd2Pb2 crystal.

Values from the calculation:
* spin magnetization: 0.000 μB/atom
* space-group type: P4/mbm

a b c (Å): 7.8128 7.8128 4.6073
angles (deg): 90.00 90.00 90.00
Positions (direct):
Pb1 0.3354 0.8354 0.0000
Pb2 0.8354 0.6646 0.0000
Pb3 0.6646 0.1646 0.0000
Pb4 0.1646 0.3354 0.0000
Zn1 0.0000 0.0000 0.0000
Zn2 0.5000 0.5000 0.0000
Cd1 0.1424 0.6424 0.5000
Cd2 0.6424 0.8576 0.5000
Cd3 0.8576 0.3576 0.5000
Cd4 0.3576 0.1424 0.5000


Q: Which of them is the least stable? A: one.


one:
DFT (GGA-PBE) results for a relaxed ZnCd2Pb2 crystal.

Values from the calculation:
* spin magnetization: 0.000 μB/atom
* space-group type: P4/mbm

a b c (Å): 7.2176 7.2176 5.0562
angles (deg): 90.00 90.00 90.00
Positions (direct):
Pb1 0.1709 0.6709 0.5000
Pb2 0.6709 0.8291 0.5000
Pb3 0.8291 0.3291 0.5000
Pb4 0.3291 0.1709 0.5000
Zn1 0.0000 0.0000 0.0000
Zn2 0.5000 0.5000 0.0000
Cd1 0.3571 0.8571 0.0000
Cd2 0.8571 0.6429 0.0000
Cd3 0.6429 0.1429 0.0000
Cd4 0.1429 0.3571 0.0000


two:
DFT (GGA-PBE) results for a relaxed ZnCd2Pb2 crystal.

Values from the calculation:
* spin magnetization: 0.000 μB/atom
* space-group type: I4/mmm

a b c (Å): 4.0071 4.0071 9.0613
angles (deg): 77.23 77.23 90.00
Positions (direct):
Pb1 0.4029 0.4029 0.1943
Pb2 0.5971 0.5971 0.8057
Zn1 0.0000 0.0000 0.0000
Cd1 0.7500 0.2500 0.5000
Cd2 0.2500 0.7500 0.5000


Q: Which of them is the least stable? A: two.


one:
DFT (GGA-PBE) results for a relaxed ZnCd4Pb crystal.

Values from the calculation:
* spin magnetization: 0.000 μB/atom
* space-group type: C2/m

a b c (Å): 6.1382 7.3620 8.0179
angles (deg): 117.33 113.74 90.00
Positions (direct):
Zn1 0.6679 0.4637 0.9274
Zn2 0.3321 0.5363 0.0726
Cd1 0.9024 0.3239 0.6478
Cd2 0.6879 0.3179 0.2324
Cd3 0.0000 0.2027 0.0000
Cd4 0.3121 0.0855 0.7676
Cd5 0.0976 0.6761 0.3522
Cd6 0.3121 0.6821 0.7676
Cd7 0.0000 0.7973 0.0000
Cd8 0.6879 0.9145 0.2324
Pb1 0.3144 0.2235 0.4470
Pb2 0.6856 0.7765 0.5530


two:
DFT (GGA-PBE) results for a relaxed ZnCd4Pb crystal.

Values from the calculation:
* spin magnetization: 0.000 μB/atom
* space-group type: F-43m

a b c (Å): 5.9315 5.9315 5.9315
angles (deg): 60.00 60.00 60.00
Positions (direct):
Zn1 0.0000 0.0000 0.0000
Cd1 0.8763 0.3746 0.3746
Cd2 0.3746 0.3746 0.8763
Cd3 0.3746 0.8763 0.3746
Cd4 0.3746 0.3746 0.3746
Pb1 0.7500 0.7500 0.7500


Q: Which of them is the least stable? A: two.


one:
DFT (GGA-PBE) results for a relaxed Zn2CdPb2 crystal.

Values from the calculation:
* spin magnetization: 0.000 μB/atom
* space-group type: P4/mbm

a b c (Å): 8.4731 8.4731 3.5855
angles (deg): 90.00 90.00 90.00
Positions (direct):
Pb1 0.3113 0.8113 0.0000
Pb2 0.8113 0.6887 0.0000
Pb3 0.6887 0.1887 0.0000
Pb4 0.1887 0.3113 0.0000
Zn1 0.1089 0.6089 0.5000
Zn2 0.6089 0.8911 0.5000
Zn3 0.8911 0.3911 0.5000
Zn4 0.3911 0.1089 0.5000
Cd1 0.0000 0.0000 0.0000
Cd2 0.5000 0.5000 0.0000


two:
DFT (GGA-PBE) results for a relaxed Zn2CdPb2 crystal.

Values from the calculation:
* spin magnetization: 0.000 μB/atom
* space-group type: I4/mmm

a b c (Å): 3.6490 3.6490 9.7218
angles (deg): 79.18 79.18 90.00
Positions (direct):
Pb1 0.3877 0.3877 0.2246
Pb2 0.6123 0.6123 0.7754
Zn1 0.7500 0.2500 0.5000
Zn2 0.2500 0.7500 0.5000
Cd1 0.0000 0.0000 0.0000


Q: Which of them is the least stable? A: one.


one:
DFT (GGA-PBE) results for a relaxed Zn2CdPb2 crystal.

Values from the calculation:
* spin magnetization: 0.000 μB/atom
* space-group type: I4/mmm

a b c (Å): 4.7443 4.7443 6.8145
angles (deg): 69.63 69.63 90.00
Positions (direct):
Pb1 0.7500 0.2500 0.5000
Pb2 0.2500 0.7500 0.5000
Zn1 0.3993 0.3993 0.2014
Zn2 0.6007 0.6007 0.7986
Cd1 0.0000 0.0000 0.0000


two:
DFT (GGA-PBE) results for a relaxed Zn2CdPb2 crystal.

Values from the calculation:
* spin magnetization: 0.000 μB/atom
* space-group type: P4/mbm

a b c (Å): 7.1668 7.1668 4.6939
angles (deg): 90.00 90.00 90.00
Positions (direct):
Pb1 0.1754 0.6754 0.5000
Pb2 0.6754 0.8246 0.5000
Pb3 0.8246 0.3246 0.5000
Pb4 0.3246 0.1754 0.5000
Zn1 0.3725 0.8725 0.0000
Zn2 0.8725 0.6275 0.0000
Zn3 0.6275 0.1275 0.0000
Zn4 0.1275 0.3725 0.0000
Cd1 0.0000 0.0000 0.0000
Cd2 0.5000 0.5000 0.0000


Q: Which of them is the least stable? A: one.


one:
DFT (GGA-PBE) results for a relaxed ZrCd2Pb2 crystal.

Values from the calculation:
* spin magnetization: 0.000 μB/atom
* space-group type: I4/mmm

a b c (Å): 3.9558 3.9558 9.2680
angles (deg): 77.68 77.68 90.00
Positions (direct):
Pb1 0.4112 0.4112 0.1777
Pb2 0.5888 0.5888 0.8223
Zr1 0.0000 0.0000 0.0000
Cd1 0.7500 0.2500 0.5000
Cd2 0.2500 0.7500 0.5000


two:
DFT (GGA-PBE) results for a relaxed ZrCd2Pb2 crystal.

Values from the calculation:
* spin magnetization: 0.000 μB/atom
* space-group type: P4/mbm

a b c (Å): 8.1845 8.1845 3.8284
angles (deg): 90.00 90.00 90.00
Positions (direct):
Pb1 0.1780 0.6780 0.5000
Pb2 0.6780 0.8220 0.5000
Pb3 0.8220 0.3220 0.5000
Pb4 0.3220 0.1780 0.5000
Zr1 0.0000 0.0000 0.0000
Zr2 0.5000 0.5000 0.0000
Cd1 0.3752 0.8752 0.0000
Cd2 0.8752 0.6248 0.0000
Cd3 0.6248 0.1248 0.0000
Cd4 0.1248 0.3752 0.0000


Q: Which of them is the least stable? A: one.